TbTmTcHg: optimized geometry, GGA-PBE.

Lattice parameters (Å, degrees): 5.015 5.015 5.015 60.00 60.00 60.00
Element x y z (fractional)
Hg  0.000  0.000  0.000
Tc  0.500  0.500  0.500
Tm  0.750  0.750  0.750
Tb  0.250  0.250  0.250

E_form	-0.16	eV per atom
V	22.3	A^3/atom
space-group type	F-43m, No. 216
D(E_F)	2.76	states/eV per cell
total moment	0.0	μB per formula unit

Tb5HgTe4: optimized geometry, GGA-PBE.

Lattice parameters (Å, degrees): 4.361 4.361 15.802 97.93 97.93 90.00
Element x y z (fractional)
Te  0.602  0.602  0.203
Te  0.398  0.398  0.797
Te  0.801  0.801  0.603
Te  0.199  0.199  0.397
Tb  0.902  0.902  0.804
Tb  0.701  0.701  0.401
Tb  0.098  0.098  0.196
Tb  0.500  0.500  0.000
Tb  0.299  0.299  0.599
Hg  0.000  0.000  0.000

V	29.5	A^3/atom
space-group type	I4/mmm, No. 139
D(E_F)	4.86	states/eV per cell
uncorrected formation energy	-1.1420	eV/atom
total moment	0.0	μB per formula unit

Tb2HgTe: optimized geometry, GGA-PBE.

Lattice parameters (Å, degrees): 4.168 4.172 8.130 104.82 90.00 119.96
Element x y z (fractional)
Tb  0.750  0.001  0.751
Tb  0.250  0.999  0.249
Te  0.000  0.500  0.500
Hg  0.500  0.500  0.000

V	29.3	A^3/atom
space-group type	R-3m, No. 166
D(E_F)	2.09	states/eV per cell
uncorrected formation energy	-0.8739	eV/atom
total moment	0.0	μB per formula unit